(1)
VASP calculation (PBE) on a relaxed structure of Tb2NdAl7Ag2.

- magnetic moment (μB per cell) = 0.017
- total energy (eV per cell) = -154.82

Cell lengths 5.5953, 5.5953, 26.4826 Å; angles 90.00, 90.00, 120.00 degrees
Space group R-3m (No. 166, hexagonal axes)
Symmetry-distinct sites (fractional):
Tb (0.0000, 0.0000, 0.1421) x6
Nd (0.0000, 0.0000, 0.0000) x3
Al (0.0000, 0.0000, 0.5000) x3
Al (0.0081, 0.5040, 0.9161) x18
Ag (0.0000, 0.0000, 0.3358) x6

=====

(2)
VASP calculation (PBE) on a relaxed structure of NdY2Al7Ag2.

- magnetic moment (μB per cell) = 0.043
- total energy (eV per cell) = -166.02

Cell lengths 5.5890, 5.5890, 26.4598 Å; angles 90.00, 90.00, 120.00 degrees
Space group R-3m (No. 166, hexagonal axes)
Symmetry-distinct sites (fractional):
Nd (0.0000, 0.0000, 0.0000) x3
Y (0.0000, 0.0000, 0.1420) x6
Al (0.0000, 0.0000, 0.5000) x3
Al (0.0079, 0.5040, 0.9160) x18
Ag (0.0000, 0.0000, 0.3357) x6

=====

(3)
VASP calculation (PBE) on a relaxed structure of Nd2YAl7Ag2.

- magnetic moment (μB per cell) = 0.002
- total energy (eV per cell) = -159.63

Cell lengths 5.6258, 5.6258, 26.6436 Å; angles 90.00, 90.00, 120.00 degrees
Space group R-3m (No. 166, hexagonal axes)
Symmetry-distinct sites (fractional):
Nd (0.0000, 0.0000, 0.1418) x6
Y (0.0000, 0.0000, 0.0000) x3
Al (0.0000, 0.0000, 0.5000) x3
Al (0.0076, 0.5038, 0.9178) x18
Ag (0.0000, 0.0000, 0.3359) x6

=====

(4)
VASP calculation (PBE) on a relaxed structure of Al2NiAg.

- magnetic moment (μB per cell) = 0.002
- total energy (eV per cell) = -64.56

Cell lengths 6.173, 6.173, 6.173 Å; angles 90.00, 90.00, 90.00 degrees
Space group F-43m (No. 216)
Symmetry-distinct sites (fractional):
Al (0.000, 0.000, 0.000) x4
Al (0.250, 0.250, 0.250) x4
Ni (0.250, 0.250, 0.750) x4
Ag (0.000, 0.000, 0.500) x4

=====

(5)
VASP calculation (PBE) on a relaxed structure of AlNiAg.

- energy above the most stable polymorph in this dataset (meV/atom) = 0
- magnetic moment (μB per cell) = 0.001
- total energy (eV per cell) = -48.28

Cell lengths 5.799, 5.799, 5.799 Å; angles 90.00, 90.00, 90.00 degrees
Space group F-43m (No. 216)
Symmetry-distinct sites (fractional):
Al (0.000, 0.000, 0.000) x4
Ni (0.250, 0.250, 0.750) x4
Ag (0.000, 0.000, 0.500) x4

=====

(6)
VASP calculation (PBE) on a relaxed structure of AlNiAg2.

- magnetic moment (μB per cell) = 0.001
- total energy (eV per cell) = -60.58

Cell lengths 6.240, 6.240, 6.240 Å; angles 90.00, 90.00, 90.00 degrees
Space group F-43m (No. 216)
Symmetry-distinct sites (fractional):
Al (0.000, 0.000, 0.000) x4
Ni (0.250, 0.250, 0.250) x4
Ag (0.000, 0.000, 0.500) x4
Ag (0.250, 0.250, 0.750) x4

=====

(7)
VASP calculation (PBE) on a relaxed structure of AlNiAg.

- energy above the most stable polymorph in this dataset (meV/atom) = 231
- magnetic moment (μB per cell) = 0.036
- total energy (eV per cell) = -45.51

Cell lengths 5.898, 5.898, 5.898 Å; angles 90.00, 90.00, 90.00 degrees
Space group F-43m (No. 216)
Symmetry-distinct sites (fractional):
Al (0.000, 0.000, 0.000) x4
Ni (0.000, 0.000, 0.500) x4
Ag (0.250, 0.250, 0.250) x4

=====

(8)
VASP calculation (PBE) on a relaxed structure of AlNiAgPd.

- magnetic moment (μB per cell) = 0.005
- total energy (eV per cell) = -74.23

Cell lengths 6.135, 6.135, 6.135 Å; angles 90.00, 90.00, 90.00 degrees
Space group F-43m (No. 216)
Symmetry-distinct sites (fractional):
Al (0.000, 0.000, 0.000) x4
Ni (0.250, 0.250, 0.250) x4
Ag (0.000, 0.000, 0.500) x4
Pd (0.250, 0.250, 0.750) x4

=====

(9)
VASP calculation (PBE) on a relaxed structure of ScAlNiAg.

- magnetic moment (μB per cell) = 0.011
- total energy (eV per cell) = -77.52

Cell lengths 6.352, 6.352, 6.352 Å; angles 90.00, 90.00, 90.00 degrees
Space group F-43m (No. 216)
Symmetry-distinct sites (fractional):
Sc (0.000, 0.000, 0.000) x4
Al (0.250, 0.250, 0.250) x4
Ni (0.000, 0.000, 0.500) x4
Ag (0.250, 0.250, 0.750) x4

=====

(10)
VASP calculation (PBE) on a relaxed structure of TaAlNiAg.

- magnetic moment (μB per cell) = 0.075
- total energy (eV per cell) = -92.97

Cell lengths 6.255, 6.255, 6.255 Å; angles 90.00, 90.00, 90.00 degrees
Space group F-43m (No. 216)
Symmetry-distinct sites (fractional):
Ta (0.000, 0.000, 0.000) x4
Al (0.250, 0.250, 0.250) x4
Ni (0.000, 0.000, 0.500) x4
Ag (0.250, 0.250, 0.750) x4

=====

(11)
VASP calculation (PBE) on a relaxed structure of Zr2Al2Ni3Ag.

- magnetic moment (μB per cell) = 0.002
- total energy (eV per cell) = -48.01

Cell lengths 4.1977, 4.1977, 8.2506 Å; angles 90.00, 90.00, 120.00 degrees
Space group P3m1 (No. 156)
Symmetry-distinct sites (fractional):
Zr (0.0000, 0.0000, 0.0000) x1
Zr (0.3333, 0.6667, 0.4672) x1
Al (0.6667, 0.3333, 0.2339) x1
Al (0.6667, 0.3333, 0.7738) x1
Ni (0.0000, 0.0000, 0.3184) x1
Ni (0.3333, 0.6667, 0.1535) x1
Ni (0.3333, 0.6667, 0.8255) x1
Ag (0.0000, 0.0000, 0.6494) x1

=====

(12)
VASP calculation (PBE) on a relaxed structure of AlAgO3.

- total energy (eV per cell) = -161.28

Cell lengths 5.3123, 5.3123, 13.9040 Å; angles 90.00, 90.00, 120.00 degrees
Space group R-3c (No. 167, hexagonal axes)
Symmetry-distinct sites (fractional):
Al (0.0000, 0.0000, 0.2500) x6
Ag (0.0000, 0.0000, 0.0000) x6
O (0.0000, 0.3296, 0.2500) x18